Entry 1:
An optimized crystal structure of Mo2Os2Pb, computed with GGA-PBEsol.

Cell lengths 3.9808, 3.9808, 11.6121 Å; angles 90.00, 90.00, 90.00 degrees
With the nearest neighbours (Å) after each atom.
Space group I4/mmm (No. 139)
Inequivalent atoms, fractional coordinates:
Mo 0.0000 0.0000 0.1172 [4 per cell]  4 Os 2.52, 1 Mo 2.72
Os 0.0000 0.5000 0.2500 [4 per cell]  4 Mo 2.52, 4 Os 2.81
Pb 0.0000 0.0000 0.5000 [2 per cell]  8 Mo 3.13

Output
For the magnetic moment, the calculation gives 0.000 Bohr magnetons per cell. The calculation puts the calculated total energy at -97.99 eV per cell.

---

Entry 2:
An optimized crystal structure of Tb6Zn23, computed with GGA-PBEsol.

Cell lengths 12.4710, 12.4710, 12.4710 Å; angles 90.00, 90.00, 90.00 degrees
With the nearest neighbours (Å) after each atom.
Space group Fm-3m (No. 225)
Inequivalent atoms, fractional coordinates:
Tb 0.0000 0.0000 0.2079 [24 per cell]  12 Zn 3.03-3.16
Zn 0.0000 0.0000 0.5000 [4 per cell]  8 Zn 2.66
Zn 0.0000 0.2500 0.2500 [24 per cell]  8 Zn 2.55-2.72
Zn 0.1229 0.1229 0.3771 [32 per cell]  7 Zn 2.66-2.72
Zn 0.1721 0.1721 0.1721 [32 per cell]  9 Zn 2.55-2.75

Output
For the magnetic moment, the calculation gives 0.004 Bohr magnetons per cell. The calculation puts the calculated total energy at -304.05 eV per cell.

---

Entry 3:
An optimized crystal structure of TaBeAg2, computed with GGA-PBEsol.

Cell lengths 2.7038, 4.2676, 5.3238 Å; angles 90.00, 102.14, 90.00 degrees
With the nearest neighbours (Å) after each atom.
Space group P2/m (No. 10)
Inequivalent atoms, fractional coordinates:
Ta 0.0000 0.0000 0.0000 [1 per cell]  2 Ta 2.70, 2 Be 2.72, 8 Ag 2.83-2.93
Be 0.5000 0.0000 0.5000 [1 per cell]  4 Ag 2.54, 2 Be 2.70, 2 Ta 2.72
Ag 0.3510 0.5000 0.7333 [2 per cell]  2 Be 2.54, 5 Ag 2.70-2.79, 2 Ta 2.83

Output
For the magnetic moment, the calculation gives 0.000 Bohr magnetons per cell. The calculation puts the calculated total energy at -21.88 eV per cell.

---

Entry 4:
An optimized crystal structure of Hf2Sc3Si4, computed with GGA-PBEsol.

Cell lengths 7.1060, 7.1060, 12.8372 Å; angles 90.00, 90.00, 90.00 degrees
With the nearest neighbours (Å) after each atom.
Space group P4_12_12 (No. 92)
Inequivalent atoms, fractional coordinates:
Hf 0.0009 0.1423 0.1234 [8 per cell]  6 Si 2.61-2.77
Sc 0.0052 0.6518 0.2154 [8 per cell]  6 Si 2.73-3.05
Sc 0.1770 0.1770 0.5000 [4 per cell]  6 Si 2.70-2.90
Si 0.0515 0.3001 0.3134 [8 per cell]  1 Si 2.48, 3 Hf 2.67-2.71, 1 Sc 2.70
Si 0.1474 0.7925 0.4271 [8 per cell]  1 Si 2.48, 3 Hf 2.61-2.77, 1 Sc 2.73

Output
For the magnetic moment, the calculation gives 0.000 Bohr magnetons per cell. The uncorrected formation energy comes out at -0.846 eV per atom.

---

Entry 5:
An optimized crystal structure of ZrCd2Os, computed with GGA-PBEsol.

Cell lengths 6.6210, 6.6210, 6.6210 Å; angles 90.00, 90.00, 90.00 degrees
With the nearest neighbours (Å) after each atom.
Space group F-43m (No. 216)
Inequivalent atoms, fractional coordinates:
Zr 0.0000 0.0000 0.0000 [4 per cell]  4 Os 2.87, 4 Cd 2.87
Cd 0.0000 0.0000 0.5000 [4 per cell]  4 Cd 2.87, 4 Os 2.87
Cd 0.2500 0.2500 0.7500 [4 per cell]  4 Cd 2.87, 4 Zr 2.87
Os 0.2500 0.2500 0.2500 [4 per cell]  4 Cd 2.87, 4 Zr 2.87

Output
For the magnetic moment, the calculation gives 0.000 Bohr magnetons per cell. The calculation puts the energy relative to the lowest polymorph listed for this composition at 0.137 eV per atom.

---

Entry 6:
An optimized crystal structure of MoIrRu2, computed with GGA-PBEsol.

Cell lengths 3.8286, 3.8286, 7.6110 Å; angles 90.00, 90.00, 90.00 degrees
With the nearest neighbours (Å) after each atom.
Space group I4/mmm (No. 139)
Inequivalent atoms, fractional coordinates:
Mo 0.0000 0.0000 0.0000 [2 per cell]  8 Ru 2.70, 4 Ir 2.71
Ir 0.0000 0.0000 0.5000 [2 per cell]  8 Ru 2.70, 4 Mo 2.71
Ru 0.0000 0.5000 0.2500 [4 per cell]  4 Mo 2.70, 4 Ir 2.70, 4 Ru 2.71

Output
For the magnetic moment, the calculation gives 0.000 Bohr magnetons per cell. The calculation puts the energy relative to the lowest polymorph listed for this composition at 0.092 eV per atom.

---

Entry 7:
An optimized crystal structure of YTlRh4, computed with GGA-PBEsol.

Cell lengths 7.3839, 7.3839, 7.3839 Å; angles 90.00, 90.00, 90.00 degrees
With the nearest neighbours (Å) after each atom.
Space group F-43m (No. 216)
Inequivalent atoms, fractional coordinates:
Y 0.0000 0.0000 0.0000 [4 per cell]  12 Rh 3.06, 4 Tl 3.20
Tl 0.2500 0.2500 0.7500 [4 per cell]  12 Rh 3.06, 4 Y 3.20
Rh 0.1245 0.1245 0.3755 [16 per cell]  6 Rh 2.60-2.62

Output
For the magnetic moment, the calculation gives 0.003 Bohr magnetons per cell. The calculation puts the calculated total energy at -176.31 eV per cell.

---

Entry 8:
An optimized crystal structure of La2CuIr, computed with GGA-PBEsol.

Cell lengths 4.9813, 4.9813, 3.6119 Å; angles 90.00, 90.00, 90.00 degrees
With the nearest neighbours (Å) after each atom.
Space group P4/mmm (No. 123)
Inequivalent atoms, fractional coordinates:
La 0.0000 0.5000 0.0000 [2 per cell]  4 Ir 3.08, 4 Cu 3.08
Cu 0.0000 0.0000 0.5000 [1 per cell]  8 La 3.08
Ir 0.5000 0.5000 0.5000 [1 per cell]  8 La 3.08

Output
For the magnetic moment, the calculation gives 0.000 Bohr magnetons per cell. The calculation puts the calculated total energy at -26.24 eV per cell.

---

Entry 9:
An optimized crystal structure of CaBrCl2, computed with GGA-PBEsol.

Cell lengths 9.0596, 9.0596, 5.8466 Å; angles 90.00, 90.00, 90.00 degrees
With the nearest neighbours (Å) after each atom.
Space group I-42d (No. 122)
Inequivalent atoms, fractional coordinates:
Ca 0.0000 0.0000 0.0000 [4 per cell]  4 Cl 2.67, 2 Br 2.92
Br 0.0000 0.0000 0.5000 [4 per cell]  2 Ca 2.92
Cl 0.1343 0.7500 0.1250 [8 per cell]  2 Ca 2.67

Output
For the magnetic moment, the calculation gives 4.288 Bohr magnetons per cell. The calculation puts the energy relative to the lowest polymorph listed for this composition at 0.060 eV per atom. The uncorrected formation energy comes out at -1.416 eV per atom.

---

Entry 10:
An optimized crystal structure of LaZrRu2, computed with GGA-PBEsol.

Cell lengths 3.6810, 3.6810, 5.7511 Å; angles 90.00, 90.00, 90.00 degrees
With the nearest neighbours (Å) after each atom.
Space group P4mm (No. 99)
Inequivalent atoms, fractional coordinates:
La 0.0000 0.0000 0.0000 [1 per cell]  6 Ru 2.70-2.96
Zr 0.5000 0.5000 0.6108 [1 per cell]  6 Ru 2.70-2.96
Ru 0.0000 0.0000 0.4849 [1 per cell]  4 Zr 2.70, 2 La 2.79-2.96
Ru 0.5000 0.5000 0.1246 [1 per cell]  4 La 2.70, 2 Zr 2.80-2.96

Output
For the magnetic moment, the calculation gives 0.000 Bohr magnetons per cell. The calculation puts the calculated total energy at -34.22 eV per cell.

---

Entry 11:
An optimized crystal structure of CaLaAs, computed with GGA-PBEsol.

Cell lengths 5.2503, 5.2596, 13.1832 Å; angles 90.00, 90.00, 90.00 degrees
With the nearest neighbours (Å) after each atom.
Space group Fmm2 (No. 42)
Inequivalent atoms, fractional coordinates:
Ca 0.0000 0.0000 0.0000 [4 per cell]  4 As 3.15, 1 La 3.27
La 0.0000 0.0000 0.2482 [4 per cell]  4 As 3.04-3.05, 1 Ca 3.27
As 0.0000 0.0000 0.6315 [4 per cell]  4 La 3.04-3.05, 4 Ca 3.15

Output
For the magnetic moment, the calculation gives 0.000 Bohr magnetons per cell. The calculation puts the calculated total energy at -59.71 eV per cell.

---

Entry 12:
An optimized crystal structure of Hg3MoRu, computed with GGA-PBEsol.

Cell lengths 5.0567, 5.0567, 5.0567 Å; angles 90.00, 90.00, 90.00 degrees
With the nearest neighbours (Å) after each atom.
Space group Pm-3m (No. 221)
Inequivalent atoms, fractional coordinates:
Hg 0.0000 0.0000 0.5000 [3 per cell]  2 Ru 2.53
Mo 0.5000 0.5000 0.5000 [1 per cell]  12 Hg 3.58
Ru 0.0000 0.0000 0.0000 [1 per cell]  6 Hg 2.53

Output
For the magnetic moment, the calculation gives 5.096 Bohr magnetons per cell. The calculation puts the calculated total energy at -16.12 eV per cell.